Record 1
8
Lattice="-1.5607 4.3049 -0.0183 -6.3438 -2.2819 4.2109 1.6147 0.6182 7.7219" Properties=species:S:1:pos:R:3 comment="PBE K2RbInCl4, relaxed" e_form_raw_ev_per_atom=-1.663 vol_a3_per_atom=33.97 magmom_total_mub_per_atom=0.00 spacegroup="No. 10" energy_ev_per_fu=-26.6 pbc="T T T"
Cl -3.5952 -1.2651 8.9882
Cl -2.6946 3.9064 2.9263
K 1.6147 0.6182 7.7219
Rb -2.3645 -0.8318 5.9664
Cl -1.0817 2.0724 6.8454
In -2.3376 1.6298 9.8182
Cl -5.2081 0.5689 5.0692
K 0.0270 2.4616 3.8518

=====

Record 2
12
Lattice="4.6369 0.0000 0.0000 0.0000 9.2551 0.3379 -2.3184 -2.6574 9.7331" Properties=species:S:1:pos:R:3 comment="PBE K2Rb3InCl6, relaxed" e_form_raw_ev_per_atom=-1.756 vol_a3_per_atom=35.15 magmom_total_mub_per_atom=0.00 spacegroup="No. 12" energy_ev_per_fu=-40.0 pbc="T T T"
In 2.3184 0.0000 0.0000
K 0.0000 2.1988 3.3683
Cl 2.3184 -0.0348 3.2531
Rb 2.3184 4.6275 0.1689
Rb 2.3184 -0.2375 6.5707
Cl 0.0000 2.1575 6.5839
Cl 0.0000 2.2678 0.1543
Cl 0.0000 6.6326 6.8179
Rb 0.0000 6.8352 3.5002
K 2.3184 4.3989 6.7026
Cl 2.3184 4.4402 3.4870
Cl 2.3184 4.3299 9.9166

=====

Record 3
12
Lattice="4.6540 0.0000 0.0000 0.0000 9.2643 0.3619 -2.3270 -2.6317 9.7534" Properties=species:S:1:pos:R:3 comment="PBE KRb3In2Cl6, relaxed" e_form_raw_ev_per_atom=-1.561 vol_a3_per_atom=35.41 magmom_total_mub_per_atom=0.00 spacegroup="No. 12" energy_ev_per_fu=-39.3 pbc="T T T"
Cl 2.3270 4.4557 3.4742
Cl 2.3270 -0.0870 3.2093
Cl 0.0000 2.2364 0.1198
Rb 0.0000 6.8077 3.5803
In 0.0000 2.1879 3.3336
Cl 0.0000 6.7196 6.9060
In 2.3270 4.4448 6.7817
Rb 2.3270 -0.1751 6.5350
Cl 0.0000 2.1769 6.6411
K 2.3270 0.0000 0.0000
Rb 2.3270 4.6322 0.1809
Cl 2.3270 4.3962 9.9956

=====

Record 4
5
Lattice="-5.2596 -0.0167 -1.4224 0.2553 -8.4762 -0.8443 -1.4131 -0.5637 5.2319" Properties=species:S:1:pos:R:3 comment="PBE KIn2SeCl, relaxed" e_form_raw_ev_per_atom=-0.358 vol_a3_per_atom=50.60 magmom_total_mub_per_atom=0.00 spacegroup="No. 123" energy_ev_per_fu=-13.7 pbc="T T T"
Cl 0.1277 -4.2381 -0.4222
K -3.2087 -4.5283 1.4826
Se 0.0000 0.0000 0.0000
In -2.6298 -0.0084 -0.7112
In -0.7066 -0.2819 2.6159

=====

Record 5
10
Lattice="7.5701 0.0001 0.0006 3.7851 6.5552 0.0007 3.7852 2.1857 6.4745" Properties=species:S:1:pos:R:3 comment="PBE K2InSnCl6, relaxed" e_form_raw_ev_per_atom=-1.360 vol_a3_per_atom=32.13 magmom_total_mub_per_atom=0.00 spacegroup="No. 146" energy_ev_per_fu=-33.6 pbc="T T T"
Cl 6.0658 1.6477 1.7759
Cl 9.0914 6.0361 4.9945
Cl 8.2529 2.2213 4.9940
K 3.7851 2.1856 5.7997
Cl 5.3673 4.8544 4.9935
Sn 3.7850 2.1852 0.2830
Cl 5.9639 7.0346 1.7764
In 11.3555 6.5559 3.5275
Cl 10.6794 4.4287 1.7760
K 7.5700 4.3703 2.5566

=====

Record 6
18
Lattice="-1.2677 3.5680 2.1640 -7.7761 -2.7303 -4.4482 -4.0358 -9.1007 12.6412" Properties=species:S:1:pos:R:3 comment="PBE KIn2SnCl5, relaxed" e_form_raw_ev_per_atom=-1.107 vol_a3_per_atom=35.51 magmom_total_mub_per_atom=0.00 spacegroup="No. 36" energy_ev_per_fu=-29.8 pbc="T T T"
In -3.4060 -2.5898 2.2748
Cl -6.7518 -0.9944 -2.3157
Cl -1.6887 -0.7930 0.3182
K -5.2345 -6.8759 12.6655
Cl -5.4203 -0.0799 1.3512
Cl -6.8785 -6.4226 6.5601
In -8.5426 -0.4823 0.1857
Sn -4.1929 -0.7455 -1.2270
Cl -2.1388 -0.7178 4.3254
Cl -6.3975 -4.3203 3.3756
Cl -4.5288 -3.2122 7.0381
Cl -9.9358 -4.1890 5.4811
Sn -7.1242 -3.5434 6.0637
In -9.7154 -5.7677 8.2133
K -9.3922 -4.8758 2.5373
Cl -11.1002 -7.9049 6.5310
In -3.8039 -6.1277 7.8751
Cl -8.0251 -6.9714 11.1882

=====

Record 7
20
Lattice="-5.7481 3.2920 -4.6661 -6.2318 -6.8111 1.5603 -5.4556 2.5127 7.1821" Properties=species:S:1:pos:R:3 comment="PBE KInSn2Cl6, relaxed" e_form_raw_ev_per_atom=-1.141 vol_a3_per_atom=33.47 magmom_total_mub_per_atom=0.00 spacegroup="No. 15" energy_ev_per_fu=-34.3 pbc="T T T"
In -7.1503 0.2393 4.1486
Cl -10.7860 -0.2981 2.8519
Sn -10.6626 -2.8276 4.5383
Cl -7.2036 3.5155 1.4900
Cl -10.2318 -4.5219 2.5863
K -9.8507 3.9715 3.0734
Cl -8.3758 -3.1819 -1.5540
Cl -6.6493 -0.7083 1.2243
Cl -9.0596 2.1756 5.6303
Cl -4.9166 2.2005 5.0169
Sn -4.0177 -1.2532 1.0098
Sn -6.7728 1.8212 -0.4620
Cl -12.5187 -3.2069 -0.9406
Cl -12.6425 2.6904 3.6094
K -7.5847 -4.9779 1.0028
Cl -7.9756 -2.7082 4.7243
Cl -4.7929 -3.6967 0.4668
Cl -9.4598 1.7018 -0.6480
In -10.2850 -1.2457 -0.0723
Sn -13.4177 0.2468 3.0665

=====

Record 8
12
Lattice="5.5256 0.0000 0.0000 0.0000 6.3122 0.0000 -2.7628 -3.1561 12.0503" Properties=species:S:1:pos:R:3 comment="PBE KIn2Sn2Cl7, relaxed" e_form_raw_ev_per_atom=-1.086 vol_a3_per_atom=35.02 magmom_total_mub_per_atom=0.00 spacegroup="No. 44" energy_ev_per_fu=-40.5 pbc="T T T"
Sn 2.7628 3.0977 2.6392
Cl 0.0000 0.8118 6.4788
Cl 0.0000 2.7746 2.4972
Cl 2.7628 5.5881 2.0376
Cl 2.7628 2.3593 0.0000
Sn 0.0000 -0.0584 9.4111
Cl 2.7628 3.9679 5.5715
K 0.0000 0.5044 0.0000
In 2.7628 0.4975 5.0306
Cl 0.0000 2.4320 10.0127
In 0.0000 3.6536 7.0197
Cl 2.7628 -0.3815 9.5531

=====

Record 9
12
Lattice="7.0779 0.1293 0.3480 0.1916 6.3156 -0.2656 0.4786 -0.3518 8.6639" Properties=species:S:1:pos:R:3 comment="PBE KInSn2Cl8, relaxed" e_form_raw_ev_per_atom=-1.183 vol_a3_per_atom=32.11 magmom_total_mub_per_atom=0.00 spacegroup="No. 2" energy_ev_per_fu=-40.8 pbc="T T T"
Cl 6.4538 1.8234 2.3028
Sn 3.6078 2.9365 6.5762
Sn 4.1404 3.1566 2.1702
In 0.0000 0.0000 0.0000
Cl 6.2795 1.1247 7.3696
Cl 2.9190 1.5844 4.5216
Cl 2.6300 1.0257 8.2332
Cl 1.2944 4.2697 6.4436
Cl 1.4687 4.9684 1.3768
Cl 5.1182 5.0674 0.5132
K 0.2393 -0.1759 4.3320
Cl 4.8292 4.5087 4.2248

=====

Record 10
18
Lattice="4.3825 0.0000 0.0000 -2.1912 9.0829 0.0000 0.0000 0.0000 16.3302" Properties=species:S:1:pos:R:3 comment="PBE K2SrInCl5, relaxed" e_form_raw_ev_per_atom=-1.850 vol_a3_per_atom=36.11 magmom_total_mub_per_atom=0.00 spacegroup="No. 36" energy_ev_per_fu=-32.5 pbc="T T T"
Sr 2.1912 4.3214 8.6508
Cl 2.1912 0.6427 4.4266
Cl 0.0000 1.9055 0.9849
Cl 0.0000 4.1962 10.6847
Cl 2.1912 4.8868 2.5196
In 0.0000 8.1190 7.1673
Cl 2.1912 4.5097 14.9325
Cl 2.1912 1.4639 8.7395
Cl 0.0000 4.5732 6.7674
K 0.0000 2.8575 4.1464
K 2.1912 6.2255 12.3115
Cl 2.1912 7.1774 9.1500
In 2.1912 0.9639 15.3324
K 0.0000 0.8563 10.8787
K 2.1912 8.2267 2.7136
Sr 0.0000 4.7615 0.4857
Cl 0.0000 8.4402 12.5917
Cl 0.0000 7.6190 0.5744

=====

Record 11
12
Lattice="6.8572 -0.3707 -0.6798 -0.3699 7.1478 0.8566 -0.8677 1.0379 8.8273" Properties=species:S:1:pos:R:3 comment="PBE KTaIn2Cl8, relaxed" e_form_raw_ev_per_atom=-1.280 vol_a3_per_atom=35.14 magmom_total_mub_per_atom=0.00 spacegroup="No. 2" energy_ev_per_fu=-48.6 pbc="T T T"
Cl 5.9689 2.2325 6.3284
In 2.7465 4.1353 2.3821
Cl -0.3493 5.5825 2.6757
Cl 5.8942 1.2929 0.7220
Cl 3.4724 7.0886 8.3890
Ta 0.0000 0.0000 0.0000
In 2.8732 3.6797 6.6221
Cl -0.2745 6.5222 8.2821
Cl 3.4798 5.5867 4.6425
Cl 2.1399 2.2283 4.3617
K -0.4338 0.5190 4.4137
Cl 2.1472 0.7264 0.6151

=====

Record 12
10
Lattice="7.7280 0.0017 0.0005 3.8655 6.6919 -0.0002 3.8645 2.2311 6.6973" Properties=species:S:1:pos:R:3 comment="PBE K2TbInCl6, relaxed" e_form_raw_ev_per_atom=-1.892 vol_a3_per_atom=34.63 magmom_total_mub_per_atom=0.00 spacegroup="No. 146" energy_ev_per_fu=-39.6 pbc="T T T"
Tb 3.8646 2.2312 0.2164
Cl 10.7171 4.3107 1.6218
Cl 5.6251 4.6018 5.2341
Cl 6.3686 7.1266 1.6218
Cl 8.6601 2.5699 5.2352
In 11.5918 6.6926 3.8031
K 7.7292 4.4619 2.7138
K 3.8653 2.2317 6.2883
Cl 8.9021 6.2141 5.2336
Cl 6.1013 1.9518 1.6221